Entry 1:
LiPm2Sc3Se6 | GGA-PBE | optimized geometry

Geometry as POSCAR:
```
LiPm2Sc3Se6
1.0
6.903 -0.005 -0.003
-3.454 5.976 -0.003
-1.153 -1.997 6.558
Li Pm Sc Se
1 2 3 6
direct
0.000 0.000 0.000
0.334 0.666 0.000
0.666 0.334 0.000
0.168 0.832 0.500
0.832 0.168 0.500
0.500 0.500 0.500
0.911 0.591 0.733
0.770 0.770 0.264
0.089 0.409 0.267
0.591 0.911 0.733
0.230 0.230 0.736
0.409 0.089 0.267
```

The value obtained for the density of states at the Fermi level is 6.30 states/eV/f.u. As for the uncorrected formation energy: -20.12 eV/f.u. The calculation puts the energy at -5.953 eV/atom.

Entry 2:
Zn2GaGe | GGA-PBE | optimized geometry

Geometry as POSCAR:
```
Zn2GaGe
1.0
0.000 3.283 3.283
3.283 0.000 3.283
3.283 3.283 0.000
Ge Zn Ga
1 2 1
direct
0.500 0.500 0.500
0.250 0.250 0.250
0.750 0.750 0.750
0.000 0.000 0.000
```

The value obtained for the density of states at the Fermi level is 2.10 states/eV/f.u. Its formation energy is 0.156 eV/atom. The calculation puts the energy at -2.392 eV/atom.

Entry 3:
Li2LaW | GGA-PBE | optimized geometry

Geometry as POSCAR:
```
Li2LaW
1.0
3.221 0.000 0.000
0.000 4.756 0.000
0.000 0.000 5.447
La Li W
1 2 1
direct
0.000 0.500 0.500
0.000 0.000 0.000
0.500 0.500 0.000
0.500 0.000 0.500
```

The value obtained for the density of states at the Fermi level is 2.79 states/eV/f.u. Its formation energy is 0.647 eV/atom. The calculation puts the energy at -4.781 eV/atom.

Q: What is the energy in the third record?
A: -4.781 eV/atom

Q: Which formula does entry 2 have?
A: Zn2GaGe

Q: Which value of energy does entry 2 give?
A: -2.392 eV/atom